The following is a PBE-GGA calculation of a geometry-optimized Ca2PdPtW structure, from Alexandria via LeMat-Bulk.

DOS at the Fermi energy: 3.3 states/eV/cell
energy of formation from the pure elements: 931 meV per atom
crystal system: tetragonal
final energy: -4.707 eV/atom

Cell: 5.181 5.181 5.022 Å, 90.00 90.00 90.00°
Space group P4/mmm (No. 123)
One atom of each set of equivalent atoms:
Ca 0.000 0.500 0.000 (multiplicity 2)
Pd 0.000 0.000 0.000 (multiplicity 1)
Pt 0.000 0.000 0.500 (multiplicity 1)
W 0.500 0.500 0.500 (multiplicity 1)